Record 1
# LaAgAuN2

A relaxed structure of LaAgAuN2 (PBE-GGA, Alexandria).

Cell lengths 4.254, 4.254, 5.754 Å; angles 90.00, 90.00, 90.00 degrees
Atoms (fractional coordinates):
La1 0.000 0.000 0.000
Ag1 0.000 0.000 0.500
Au1 0.500 0.500 0.000
N1 0.000 0.500 0.500
N2 0.500 0.000 0.500

Results
* formation energy from raw total energies: 1.31 eV/atom
* D(E_F): 2.310 states/eV per cell
* SG: P4/mmm (123)


Record 2
# Sm2Dy3Tm7

A relaxed structure of Sm2Dy3Tm7 (PBE-GGA, Alexandria).

Cell lengths 6.269, 3.488, 17.275 Å; angles 90.00, 96.25, 90.00 degrees
Atoms (fractional coordinates):
Sm1 0.061 0.000 0.174
Sm2 0.939 0.000 0.826
Dy1 0.451 0.500 0.843
Dy2 0.500 0.000 0.500
Dy3 0.549 0.500 0.157
Tm1 0.000 0.500 0.500
Tm2 0.227 0.000 0.666
Tm3 0.255 0.000 0.999
Tm4 0.274 0.500 0.337
Tm5 0.726 0.500 0.663
Tm6 0.745 0.000 0.001
Tm7 0.773 0.000 0.334

Results
* D(E_F): 17.554 states/eV per cell
* DFT formation energy: 1.0 eV per formula unit
* SG: P2/m (10)
* energy above the lowest structure with this stoichiometry: 0 meV per atom


Record 3
# YUO4

A relaxed structure of YUO4 (PBE-GGA, Alexandria).

Cell lengths 6.560, 6.560, 6.560 Å; angles 131.68, 131.68, 70.74 degrees
Atoms (fractional coordinates):
Y1 0.375 0.625 0.750
Y2 0.625 0.375 0.250
U1 0.125 0.875 0.250
U2 0.875 0.125 0.750
O1 0.000 0.237 0.237
O2 0.000 0.763 0.763
O3 0.237 0.000 0.737
O4 0.237 0.500 0.237
O5 0.500 0.237 0.737
O6 0.500 0.763 0.263
O7 0.763 0.000 0.263
O8 0.763 0.500 0.763

Results
* formation energy from raw total energies: -3.43 eV/atom
* D(E_F): 11.503 states/eV per cell
* SG: I4_1/amd (141)


Record 4
# RbGeSb2As

A relaxed structure of RbGeSb2As (PBE-GGA, Alexandria).

Cell lengths 5.319, 5.319, 6.118 Å; angles 90.00, 90.00, 90.00 degrees
Atoms (fractional coordinates):
Rb1 0.000 0.000 0.000
Ge1 0.000 0.000 0.500
Sb1 0.000 0.500 0.500
Sb2 0.500 0.000 0.500
As1 0.500 0.500 0.000

Results
* formation energy from raw total energies: 0.64 eV/atom
* D(E_F): 3.430 states/eV per cell
* SG: P4/mmm (123)


Record 5
# Ca2Tl8Sn

A relaxed structure of Ca2Tl8Sn (PBE-GGA, Alexandria).

Cell lengths 7.982, 7.982, 7.722 Å; angles 110.02, 110.02, 48.21 degrees
Atoms (fractional coordinates):
Ca1 0.155 0.155 0.281
Ca2 0.845 0.845 0.719
Tl1 0.179 0.658 0.116
Tl2 0.244 0.244 0.755
Tl3 0.342 0.821 0.884
Tl4 0.392 0.392 0.509
Tl5 0.608 0.608 0.491
Tl6 0.658 0.179 0.116
Tl7 0.756 0.756 0.245
Tl8 0.821 0.342 0.884
Sn1 0.000 0.000 0.500

Results
* D(E_F): 5.049 states/eV per cell
* DFT formation energy: -1.2 eV per formula unit
* SG: C2/m (12)
* energy above the lowest structure with this stoichiometry: 28 meV per atom


Record 6
# Pu4HfTh

A relaxed structure of Pu4HfTh (PBE-GGA, Alexandria).

Cell lengths 5.995, 5.995, 5.995 Å; angles 60.00, 60.00, 60.00 degrees
Atoms (fractional coordinates):
Pu1 0.125 0.125 0.125
Pu2 0.125 0.125 0.626
Pu3 0.125 0.626 0.125
Pu4 0.626 0.125 0.125
Hf1 0.750 0.750 0.750
Th1 0.500 0.500 0.500

Results
* D(E_F): 24.618 states/eV per cell
* DFT formation energy: 1.7 eV per formula unit
* SG: F-43m (216)


Record 7
# AcPmRe4

A relaxed structure of AcPmRe4 (PBE-GGA, Alexandria).

Cell lengths 5.566, 5.566, 5.566 Å; angles 60.00, 60.00, 60.00 degrees
Atoms (fractional coordinates):
Ac1 0.000 0.000 0.000
Pm1 0.750 0.750 0.750
Re1 0.375 0.375 0.375
Re2 0.375 0.375 0.874
Re3 0.375 0.874 0.375
Re4 0.874 0.375 0.375

Results
* D(E_F): 9.762 states/eV per cell
* DFT formation energy: 1.4 eV per formula unit
* SG: F-43m (216)


Record 8
# Nd2ZrScSb4

A relaxed structure of Nd2ZrScSb4 (PBE-GGA, Alexandria).

Cell lengths 7.492, 4.329, 7.508 Å; angles 90.00, 109.38, 90.00 degrees
Atoms (fractional coordinates):
Nd1 0.000 0.000 0.000
Nd2 0.500 0.500 0.000
Zr1 0.000 0.500 0.500
Sc1 0.500 0.000 0.500
Sb1 0.243 0.000 0.727
Sb2 0.258 0.500 0.274
Sb3 0.742 0.500 0.726
Sb4 0.757 0.000 0.273

Results
* formation energy from raw total energies: -0.97 eV/atom
* D(E_F): 1.679 states/eV per cell
* SG: P2/m (10)


Record 9
# InBi3P

A relaxed structure of InBi3P (PBE-GGA, Alexandria).

Cell lengths 5.692, 5.692, 5.692 Å; angles 90.00, 90.00, 90.00 degrees
Atoms (fractional coordinates):
In1 0.000 0.000 0.000
Bi1 0.000 0.000 0.500
Bi2 0.000 0.500 0.000
Bi3 0.500 0.000 0.000
P1 0.500 0.500 0.500

Results
* D(E_F): 7.803 states/eV per cell
* DFT formation energy: 5.6 eV per formula unit
* SG: Pm-3m (221)
* energy above the lowest structure with this stoichiometry: 709 meV per atom


Record 10
# BeNbTc3

A relaxed structure of BeNbTc3 (PBE-GGA, Alexandria).

Cell lengths 4.708, 4.708, 4.708 Å; angles 90.00, 90.00, 90.00 degrees
Atoms (fractional coordinates):
Be1 0.000 0.000 0.000
Nb1 0.500 0.500 0.500
Tc1 0.000 0.500 0.500
Tc2 0.500 0.000 0.500
Tc3 0.500 0.500 0.000

Results
* D(E_F): 6.176 states/eV per cell
* DFT formation energy: 10.3 eV per formula unit
* SG: Pm-3m (221)
* energy above the lowest structure with this stoichiometry: 1698 meV per atom


Record 11
# Nd6TlIn5

A relaxed structure of Nd6TlIn5 (PBE-GGA, Alexandria).

Cell lengths 9.509, 9.509, 9.509 Å; angles 146.47, 131.79, 60.00 degrees
Atoms (fractional coordinates):
Nd1 0.083 0.333 0.750
Nd2 0.249 0.000 0.249
Nd3 0.417 0.667 0.750
Nd4 0.583 0.333 0.250
Nd5 0.751 0.000 0.751
Nd6 0.917 0.667 0.250
Tl1 0.500 0.500 0.000
In1 0.000 0.500 0.500
In2 0.167 0.167 0.000
In3 0.333 0.833 0.500
In4 0.667 0.167 0.500
In5 0.833 0.833 0.000

Results
* D(E_F): 6.971 states/eV per cell
* DFT formation energy: -5.7 eV per formula unit
* SG: Immm (71)
* energy above the lowest structure with this stoichiometry: 0 meV per atom


Record 12
# Li2BiPt2

A relaxed structure of Li2BiPt2 (PBE-GGA, Alexandria).

Cell lengths 7.448, 7.448, 2.983 Å; angles 90.00, 90.00, 90.00 degrees
Atoms (fractional coordinates):
Li1 0.117 0.383 0.000
Li2 0.383 0.883 0.000
Li3 0.617 0.117 0.000
Li4 0.883 0.617 0.000
Bi1 0.000 0.000 0.000
Bi2 0.500 0.500 0.000
Pt1 0.177 0.677 0.500
Pt2 0.323 0.177 0.500
Pt3 0.677 0.823 0.500
Pt4 0.823 0.323 0.500

Results
* D(E_F): 5.192 states/eV per cell
* DFT formation energy: -1.7 eV per formula unit
* SG: P4/mbm (127)
* energy above the lowest structure with this stoichiometry: 32 meV per atom


Number 1: magnetization 2.0 μB/cell, total DFT energy (no corrections) -4.23 eV/atom. Number 2: magnetization 0.0 μB/cell, total DFT energy (no corrections) -4.46 eV/atom. Number 3: magnetization 2.0 μB/cell, total DFT energy (no corrections) -9.70 eV/atom. Number 4: magnetization 0.0 μB/cell, total DFT energy (no corrections) -3.06 eV/atom. Number 5: magnetization 0.0 μB/cell, total DFT energy (no corrections) -2.55 eV/atom. Number 6: magnetization 21.1 μB/cell, total DFT energy (no corrections) -12.17 eV/atom. Number 7: magnetization 0.0 μB/cell, total DFT energy (no corrections) -9.55 eV/atom. Number 8: magnetization 0.0 μB/cell, total DFT energy (no corrections) -6.09 eV/atom. Number 9: magnetization 0.0 μB/cell, total DFT energy (no corrections) -2.83 eV/atom. Number 10: magnetization 2.5 μB/cell, total DFT energy (no corrections) -6.92 eV/atom. Number 11: magnetization 0.0 μB/cell, total DFT energy (no corrections) -4.20 eV/atom. Number 12: magnetization 0.0 μB/cell, total DFT energy (no corrections) -4.30 eV/atom.